No. 1
# Pm7Pt2Rh2 | Alexandria via LeMat-Bulk | PBE-GGA | relaxed
data_Pm7Pt2Rh2
_space_group_name_H-M_alt 'I m m 2'
_space_group_IT_number 44
_space_group_name_Hall 'I 2 -2'
_cell_length_a 3.976
_cell_length_b 15.477
_cell_length_c 9.601
_cell_angle_alpha 90.00
_cell_angle_beta 90.00
_cell_angle_gamma 90.00
loop_
_atom_site_label
_atom_site_type_symbol
_atom_site_fract_x
_atom_site_fract_y
_atom_site_fract_z
_atom_site_occupancy
Pm1 Pm 0.000 0.000 0.000 1
Pm2 Pm 0.000 0.110 0.619 1
Pm3 Pm 0.000 0.309 0.404 1
Pm4 Pm 0.000 0.379 0.775 1
Pt1 Pt 0.000 0.240 0.110 1
Rh1 Rh 0.000 0.000 0.370 1
Rh2 Rh 0.000 0.500 0.291 1
# * uncorrected energy: -6.18 eV per atom
# * D(E_F): 19.35 states/eV per cell
# * V: 295.4 Å³/f.u.
# * energy above the most stable polymorph in this dataset: 0.0000 eV/atom
# * ΔE_f: -762 kJ/mol of formula units

***

No. 2
# CeNd3Ru3 | Alexandria via LeMat-Bulk | PBE-GGA | relaxed
data_CeNd3Ru3
_space_group_name_H-M_alt 'C 1 2/m 1'
_space_group_IT_number 12
_space_group_name_Hall '-C 2y'
_cell_length_a 10.930
_cell_length_b 9.390
_cell_length_c 6.689
_cell_angle_alpha 90.00
_cell_angle_beta 97.42
_cell_angle_gamma 90.00
loop_
_atom_site_label
_atom_site_type_symbol
_atom_site_fract_x
_atom_site_fract_y
_atom_site_fract_z
_atom_site_occupancy
Ce1 Ce 0.205 0.000 0.411 1
Nd1 Nd 0.000 0.187 0.000 1
Nd2 Nd 0.000 0.294 0.500 1
Nd3 Nd 0.189 0.500 0.036 1
Ru1 Ru 0.071 0.000 0.696 1
Ru2 Ru 0.245 0.261 0.725 1
# * uncorrected energy: -7.06 eV per atom
# * D(E_F): 26.27 states/eV per cell
# * V: 170.2 Å³/f.u.
# * energy above the most stable polymorph in this dataset: 0.0055 eV/atom
# * ΔE_f: -133 kJ/mol of formula units